10
Lattice="7.042 0.000 0.000 0.000 4.073 0.000 -1.579 0.000 8.996" Properties=species:S:1:pos:R:3 comment="Th2CdOsAu, relaxed, DFT GGA-PBE" energy_ev_per_atom=-6.3344 m_tot_mub_per_fu=0.00 pbc="T T T"
Th 1.318 1.018 0.860
Th 0.747 3.054 6.713
Th 4.716 1.018 2.283
Th 4.144 3.054 8.136
Cd 2.144 3.054 3.555
Cd 3.318 1.018 5.441
Os 3.203 3.054 0.996
Os 2.259 1.018 8.000
Au 0.209 1.018 4.178
Au 5.254 3.054 4.818

***

14
Lattice="5.479 0.000 0.000 0.000 6.241 0.000 -1.670 0.000 9.033" Properties=species:S:1:pos:R:3 comment="RbTlTcO4, relaxed, DFT GGA-PBE" formation_energy_uncorrected_mev_per_atom=-1397 m_tot_mub_per_fu=1.02 pbc="T T T"
Rb 0.570 1.560 1.127
Rb 3.239 4.681 7.906
Tl 0.460 4.681 4.565
Tl 3.350 1.560 4.469
Tc 1.126 1.560 7.139
Tc 2.684 4.681 1.894
O -0.652 1.560 7.184
O 1.991 4.681 0.263
O 2.066 3.286 2.876
O 2.066 6.075 2.876
O 1.743 0.165 6.157
O 1.743 2.955 6.157
O 1.819 1.560 8.771
O 4.461 4.681 1.849

***

8
Lattice="-3.567 3.567 2.973 3.567 -3.567 2.973 3.567 3.567 -2.973" Properties=species:S:1:pos:R:3 comment="MgRh2Pb, relaxed, DFT GGA-PBE" energy_ev_per_atom=-4.8434 m_tot_mub_per_fu=0.00 pbc="T T T"
Mg 0.000 0.000 0.000
Mg 0.000 3.567 1.486
Rh 1.783 1.716 -0.743
Rh 1.851 -1.783 3.716
Rh 1.783 1.851 2.230
Rh 1.716 5.350 0.743
Pb 3.567 0.000 1.486
Pb 0.000 0.000 2.973

***

4
Lattice="1.877 -2.757 0.000 1.877 2.757 0.000 0.000 0.000 10.424" Properties=species:S:1:pos:R:3 comment="Mg2PbCl, relaxed, DFT GGA-PBE" formation_energy_uncorrected_mev_per_atom=-479 e_above_lowest_polymorph_ev_per_atom=0.080 m_tot_mub_per_fu=0.00 pbc="T T T"
Mg 0.000 0.000 0.000
Mg 1.877 0.000 2.449
Pb 1.877 0.000 7.831
Cl 0.000 0.000 4.006

***

8
Lattice="3.950 0.000 0.000 0.000 3.950 0.000 0.000 0.000 8.727" Properties=species:S:1:pos:R:3 comment="TmBePPt, relaxed, DFT GGA-PBE" energy_ev_per_atom=-5.9751 m_tot_mub_per_fu=0.00 pbc="T T T"
Tm 0.988 0.988 1.629
Tm 2.963 2.963 7.098
Be 0.988 0.988 5.491
Be 2.963 2.963 3.236
P 0.988 0.988 7.568
P 2.963 2.963 1.159
Pt 0.988 2.963 4.364
Pt 2.963 0.988 4.364

***

16
Lattice="4.021 0.000 0.000 0.000 4.021 0.000 0.000 0.000 16.167" Properties=species:S:1:pos:R:3 comment="Sc3TePd12, relaxed, DFT GGA-PBE" formation_energy_uncorrected_mev_per_atom=-683 m_tot_mub_per_fu=0.00 pbc="T T T"
Sc 0.000 0.000 0.000
Sc 0.000 0.000 3.941
Sc 0.000 0.000 12.226
Te 0.000 0.000 8.084
Pd 0.000 2.010 2.001
Pd 0.000 2.010 6.008
Pd 0.000 2.010 10.159
Pd 0.000 2.010 14.166
Pd 2.010 0.000 2.001
Pd 2.010 0.000 6.008
Pd 2.010 0.000 10.159
Pd 2.010 0.000 14.166
Pd 2.010 2.010 0.000
Pd 2.010 2.010 4.028
Pd 2.010 2.010 8.084
Pd 2.010 2.010 12.139

***

20
Lattice="6.094 0.000 0.000 0.000 9.379 0.000 -6.013 0.000 11.680" Properties=species:S:1:pos:R:3 comment="Pm6Er3Tm, relaxed, DFT GGA-PBE" e_above_lowest_polymorph_ev_per_atom=0.060 m_tot_mub_per_fu=0.00 pbc="T T T"
Pm -0.002 1.461 0.944
Pm -3.009 3.229 6.784
Pm -2.233 0.289 8.756
Pm 0.773 4.400 2.916
Pm 0.025 1.472 4.901
Pm -2.982 3.218 10.741
Pm 3.063 6.162 0.939
Pm 0.057 7.907 6.778
Pm -0.692 4.979 8.763
Pm 2.314 9.090 2.923
Pm 3.090 6.151 4.896
Pm 0.084 7.918 10.735
Er -3.006 0.000 5.840
Er 0.000 4.690 0.000
Er -3.635 6.361 8.755
Er -0.629 7.708 2.916
Er 0.710 1.671 8.764
Er 3.716 3.018 2.924
Tm 3.047 0.000 0.000
Tm 0.041 4.690 5.840

***

6
Lattice="2.387 -7.243 0.000 2.387 7.243 0.000 0.000 0.000 4.798" Properties=species:S:1:pos:R:3 comment="Ce5Y, relaxed, DFT GGA-PBE" energy_ev_per_atom=-5.9402 m_tot_mub_per_fu=0.00 pbc="T T T"
Ce 0.000 0.000 0.000
Ce 2.387 4.752 2.399
Ce 2.387 2.437 0.000
Ce 2.387 -2.437 0.000
Ce 2.387 -4.752 2.399
Y 2.387 0.000 2.399

***

6
Lattice="-2.066 2.545 5.056 2.066 -2.545 5.056 2.066 2.545 -5.056" Properties=species:S:1:pos:R:3 comment="Y2CoNi3, relaxed, DFT GGA-PBE" energy_ev_per_atom=-6.2187 m_tot_mub_per_fu=1.63 pbc="T T T"
Y 0.000 0.000 1.900
Y 0.000 0.000 8.211
Co 0.000 0.000 5.056
Ni 2.066 0.000 0.000
Ni 2.066 0.000 3.909
Ni 0.000 2.545 1.147

***

18
Lattice="1.679 -6.816 0.000 1.679 6.816 0.000 0.000 0.000 10.283" Properties=species:S:1:pos:R:3 comment="TbPa2RuN5, relaxed, DFT GGA-PBE" formation_energy_uncorrected_mev_per_atom=-1122 m_tot_mub_per_fu=0.00 pbc="T T T"
Tb 1.679 4.103 5.141
Tb 1.679 -4.103 0.000
Pa 1.679 5.380 1.894
Pa 1.679 4.915 8.195
Pa 1.679 -4.915 3.054
Pa 1.679 -5.380 7.036
Ru 1.679 0.307 9.877
Ru 1.679 -0.307 4.735
N 1.679 6.186 6.032
N 1.679 2.983 1.880
N 1.679 2.225 8.709
N 1.679 1.782 5.210
N 1.679 0.270 2.869
N 1.679 -0.270 8.010
N 1.679 -1.782 0.068
N 1.679 -2.225 3.568
N 1.679 -2.983 7.021
N 1.679 -6.186 0.890

***

4
Lattice="1.943 1.122 11.402 -1.943 1.122 11.402 0.000 -2.243 11.402" Properties=species:S:1:pos:R:3 comment="K2HgSb, relaxed, DFT GGA-PBE" formation_energy_uncorrected_mev_per_atom=-99 e_above_lowest_polymorph_ev_per_atom=0.237 m_tot_mub_per_fu=0.00 pbc="T T T"
K 0.000 0.000 8.373
K 0.000 0.000 25.833
Hg 0.000 0.000 0.000
Sb 0.000 0.000 17.103

***

7
Lattice="2.213 1.278 9.259 -2.213 1.278 9.259 0.000 -2.556 9.259" Properties=species:S:1:pos:R:3 comment="DyY2Zn2Ga2, relaxed, DFT GGA-PBE" energy_ev_per_atom=-4.1475 m_tot_mub_per_fu=0.00 pbc="T T T"
Dy 0.000 0.000 0.000
Y 0.000 0.000 3.495
Y 0.000 0.000 24.282
Zn 0.000 0.000 10.986
Zn 0.000 0.000 16.791
Ga 0.000 0.000 7.344
Ga 0.000 0.000 20.433

***

4
Lattice="2.902 -4.156 0.000 2.902 4.156 0.000 0.000 0.000 3.266" Properties=species:S:1:pos:R:3 comment="BaCr2Co, relaxed, DFT GGA-PBE" e_above_lowest_polymorph_ev_per_atom=0.812 m_tot_mub_per_fu=8.18 pbc="T T T"
Ba 0.000 0.000 0.000
Cr 1.451 2.078 1.633
Cr 1.451 -2.078 1.633
Co 2.902 0.000 0.000

***

6
Lattice="-1.580 2.693 3.590 1.580 -2.693 3.590 1.580 2.693 -3.590" Properties=species:S:1:pos:R:3 comment="TbTcB4, relaxed, DFT GGA-PBE" e_above_lowest_polymorph_ev_per_atom=0.291 m_tot_mub_per_fu=0.00 pbc="T T T"
Tb 0.000 0.000 0.000
Tc 0.000 0.000 3.590
B 1.580 -0.882 1.805
B 1.580 0.882 1.805
B 0.000 1.811 1.786
B 0.000 3.574 1.786

***

6
Lattice="-3.211 3.211 2.606 3.211 -3.211 2.606 3.211 3.211 -2.606" Properties=species:S:1:pos:R:3 comment="Re2Hg, relaxed, DFT GGA-PBE" e_above_lowest_polymorph_ev_per_atom=0.814 m_tot_mub_per_fu=0.00 pbc="T T T"
Re 4.023 0.811 0.000
Re 0.811 2.400 0.000
Re 2.400 0.811 2.606
Re -0.811 2.400 2.606
Hg 0.000 0.000 1.303
Hg 0.000 0.000 3.909

***

5
Lattice="4.404 0.000 0.000 0.000 4.404 0.000 0.000 0.000 5.459" Properties=species:S:1:pos:R:3 comment="CdW2SeCl, relaxed, DFT GGA-PBE" formation_energy_uncorrected_mev_per_atom=1697 m_tot_mub_per_fu=0.01 pbc="T T T"
Cd 0.000 0.000 0.000
W 0.000 2.202 2.730
W 2.202 0.000 2.730
Se 2.202 2.202 0.000
Cl 0.000 0.000 2.730

***

3
Lattice="-1.664 1.664 6.309 1.664 -1.664 6.309 1.664 1.664 -6.309" Properties=species:S:1:pos:R:3 comment="CeHoFe, relaxed, DFT GGA-PBE" e_above_lowest_polymorph_ev_per_atom=0.172 m_tot_mub_per_fu=0.06 pbc="T T T"
Ce 0.000 0.000 0.000
Ho 0.000 0.000 9.377
Fe 0.000 0.000 4.785

***

5
Lattice="5.300 0.000 0.000 0.000 5.300 0.000 0.000 0.000 5.300" Properties=species:S:1:pos:R:3 comment="Y3TmS, relaxed, DFT GGA-PBE" formation_energy_uncorrected_mev_per_atom=-656 m_tot_mub_per_fu=0.00 pbc="T T T"
Y 0.000 0.000 2.650
Y 0.000 2.650 0.000
Y 2.650 0.000 0.000
Tm 2.650 2.650 2.650
S 0.000 0.000 0.000

***

4
Lattice="1.447 0.835 9.771 -1.447 0.835 9.771 0.000 -1.670 9.771" Properties=species:S:1:pos:R:3 comment="UGa2W, relaxed, DFT GGA-PBE" energy_ev_per_atom=-7.4857 m_tot_mub_per_fu=1.73 pbc="T T T"
U 0.000 0.000 0.000
Ga 0.000 0.000 7.104
Ga 0.000 0.000 22.210
W 0.000 0.000 14.657

***

15
Lattice="6.479 -3.717 0.000 6.479 3.717 0.000 -4.335 0.000 6.917" Properties=species:S:1:pos:R:3 comment="Na3AlIn3S8, relaxed, DFT GGA-PBE" formation_energy_uncorrected_mev_per_atom=-800 m_tot_mub_per_fu=0.00 pbc="T T T"
Na 0.000 0.000 0.000
Na 3.239 1.859 0.000
Na 3.239 -1.859 0.000
Al -2.168 0.000 3.458
In 1.072 1.859 3.458
In 1.072 -1.859 3.458
In 4.311 0.000 3.458
S -0.150 0.000 4.884
S 3.299 1.979 4.885
S 5.323 1.979 2.031
S 2.153 0.000 1.928
S 6.468 0.000 4.989
S 3.299 -1.979 4.885
S 5.323 -1.979 2.031
S 8.772 0.000 2.032